Compound: NaBi3Pd
Source: the Alexandria database
Functional: GGA-PBE
Structure: relaxed

## Properties
ΔE to the lowest computed polymorph (meV per atom): 35.7
Formation energy from the elements (eV per atom): -0.177
DOS at the Fermi energy (states/eV/cell): 8.71

POSCAR file:
```
NaBi3Pd
1.0
-5.011 -1.735 3.831
0.337 -8.567 -3.439
6.029 -2.478 6.765
Na Pd Bi
4 4 12
Direct
0.691 0.528 0.250
0.191 0.972 0.250
0.809 0.028 0.750
0.309 0.472 0.750
0.500 0.000 0.500
0.000 0.500 0.500
0.000 0.500 0.000
0.500 0.000 0.000
0.700 0.909 0.250
0.300 0.091 0.750
0.804 0.216 0.425
0.196 0.784 0.925
0.696 0.716 0.925
0.800 0.409 0.750
0.304 0.284 0.425
0.696 0.716 0.575
0.804 0.216 0.075
0.200 0.591 0.250
0.304 0.284 0.075
0.196 0.784 0.575
```